Record 1
This record from OQMD describes a geometry-optimized BeSiNi2 structure. The functional is PBE.

a = 3.793 Å, b = 3.793 Å, c = 2.797 Å
α = 90.00°, β = 90.00°, γ = 90.00°
Space group P4/mmm (No. 123)
Unique sites:
Be (0.000, 0.000, 0.000) (multiplicity 1)
Si (0.500, 0.500, 0.000) (multiplicity 1)
Ni (0.000, 0.500, 0.500) (multiplicity 2)

The calculation puts the electronic total energy at -22.3 eV for the cell shown.

---

Record 2
This record from OQMD describes a geometry-optimized BeSiNi structure. The functional is PBE.

a = 5.141 Å, b = 5.141 Å, c = 5.141 Å
α = 90.00°, β = 90.00°, γ = 90.00°
Space group F-43m (No. 216)
Unique sites:
Be (0.000, 0.000, 0.000) (multiplicity 4)
Si (0.250, 0.250, 0.250) (multiplicity 4)
Ni (0.250, 0.250, 0.750) (multiplicity 4)

The calculation puts the electronic total energy at -60.6 eV for the cell shown.

---

Record 3
This record from OQMD describes a geometry-optimized BeSiNi2 structure. The functional is PBE.

a = 3.631 Å, b = 3.631 Å, c = 6.008 Å
α = 90.00°, β = 90.00°, γ = 90.00°
Space group I4/mmm (No. 139)
Unique sites:
Be (0.000, 0.000, 0.000) (multiplicity 2)
Si (0.000, 0.000, 0.500) (multiplicity 2)
Ni (0.000, 0.500, 0.250) (multiplicity 4)

The calculation puts the electronic total energy at -44.7 eV for the cell shown.

---

Record 4
This record from OQMD describes a geometry-optimized BeSi2Ni structure. The functional is PBE.

a = 5.696 Å, b = 5.696 Å, c = 5.696 Å
α = 90.00°, β = 90.00°, γ = 90.00°
Space group F-43m (No. 216)
Unique sites:
Be (0.000, 0.000, 0.000) (multiplicity 4)
Si (0.000, 0.000, 0.500) (multiplicity 4)
Si (0.250, 0.250, 0.750) (multiplicity 4)
Ni (0.250, 0.250, 0.250) (multiplicity 4)

The calculation puts the electronic total energy at -77.1 eV for the cell shown.

---

Record 5
This record from OQMD describes a geometry-optimized BeSi2Ni structure. The functional is PBE.

a = 3.535 Å, b = 3.535 Å, c = 7.183 Å
α = 90.00°, β = 90.00°, γ = 90.00°
Space group I4/mmm (No. 139)
Unique sites:
Be (0.000, 0.000, 0.000) (multiplicity 2)
Si (0.000, 0.500, 0.250) (multiplicity 4)
Ni (0.000, 0.000, 0.500) (multiplicity 2)

The calculation puts the electronic total energy at -39.9 eV for the cell shown.

---

Record 6
This record from OQMD describes a geometry-optimized Be2SiNi3 structure. The functional is PBE.

a = 3.7918 Å, b = 3.7918 Å, c = 4.6467 Å
α = 90.00°, β = 90.00°, γ = 120.00°
Space group P-3m1 (No. 164)
Unique sites:
Be (0.3333, 0.6667, 0.1592) (multiplicity 2)
Si (0.0000, 0.0000, 0.5000) (multiplicity 1)
Ni (0.0000, 0.0000, 0.0000) (multiplicity 1)
Ni (0.3333, 0.6667, 0.6717) (multiplicity 2)

The calculation puts the electronic total energy at -32.7 eV for the cell shown.

---

Record 7
This record from OQMD describes a geometry-optimized BeSiNi2 structure. The functional is PBE.

a = 3.8102 Å, b = 3.8102 Å, c = 7.0362 Å
α = 90.00°, β = 90.00°, γ = 120.00°
Space group P6_3/mmc (No. 194)
Unique sites:
Be (0.3333, 0.6667, 0.2500) (multiplicity 2)
Si (0.0000, 0.0000, 0.0000) (multiplicity 2)
Ni (0.3333, 0.6667, 0.5827) (multiplicity 4)

The calculation puts the electronic total energy at -43.2 eV for the cell shown.

---

Record 8
This record from OQMD describes a geometry-optimized SrBeSiNi structure. The functional is PBE.

a = 6.494 Å, b = 6.494 Å, c = 6.494 Å
α = 90.00°, β = 90.00°, γ = 90.00°
Space group F-43m (No. 216)
Unique sites:
Sr (0.000, 0.000, 0.000) (multiplicity 4)
Be (0.000, 0.000, 0.500) (multiplicity 4)
Si (0.250, 0.250, 0.250) (multiplicity 4)
Ni (0.250, 0.250, 0.750) (multiplicity 4)

The calculation puts the electronic total energy at -58.2 eV for the cell shown.

---

Record 9
This record from OQMD describes a geometry-optimized SrBeSiNi structure. The functional is PBE.

a = 6.332 Å, b = 6.332 Å, c = 6.332 Å
α = 90.00°, β = 90.00°, γ = 90.00°
Space group F-43m (No. 216)
Unique sites:
Sr (0.000, 0.000, 0.000) (multiplicity 4)
Be (0.250, 0.250, 0.750) (multiplicity 4)
Si (0.000, 0.000, 0.500) (multiplicity 4)
Ni (0.250, 0.250, 0.250) (multiplicity 4)

The calculation puts the electronic total energy at -61.0 eV for the cell shown.

---

Record 10
This record from OQMD describes a geometry-optimized YBeSiNi structure. The functional is PBE.

a = 6.136 Å, b = 6.136 Å, c = 6.136 Å
α = 90.00°, β = 90.00°, γ = 90.00°
Space group F-43m (No. 216)
Unique sites:
Y (0.000, 0.000, 0.000) (multiplicity 4)
Be (0.250, 0.250, 0.250) (multiplicity 4)
Si (0.000, 0.000, 0.500) (multiplicity 4)
Ni (0.250, 0.250, 0.750) (multiplicity 4)

The calculation puts the electronic total energy at -88.3 eV for the cell shown.

---

Record 11
This record from OQMD describes a geometry-optimized BeZnSiNi structure. The functional is PBE.

a = 5.671 Å, b = 5.671 Å, c = 5.671 Å
α = 90.00°, β = 90.00°, γ = 90.00°
Space group F-43m (No. 216)
Unique sites:
Be (0.000, 0.000, 0.000) (multiplicity 4)
Zn (0.250, 0.250, 0.750) (multiplicity 4)
Si (0.250, 0.250, 0.250) (multiplicity 4)
Ni (0.000, 0.000, 0.500) (multiplicity 4)

The calculation puts the electronic total energy at -63.5 eV for the cell shown.

---

Record 12
This record from OQMD describes a geometry-optimized BeZnSiNi structure. The functional is PBE.

a = 5.665 Å, b = 5.665 Å, c = 5.665 Å
α = 90.00°, β = 90.00°, γ = 90.00°
Space group F-43m (No. 216)
Unique sites:
Be (0.000, 0.000, 0.000) (multiplicity 4)
Zn (0.250, 0.250, 0.750) (multiplicity 4)
Si (0.000, 0.000, 0.500) (multiplicity 4)
Ni (0.250, 0.250, 0.250) (multiplicity 4)

The calculation puts the electronic total energy at -63.4 eV for the cell shown.

---

Record 13
This record from OQMD describes a geometry-optimized SmBeNi structure. The functional is PBE.

a = 6.036 Å, b = 6.036 Å, c = 6.036 Å
α = 90.00°, β = 90.00°, γ = 90.00°
Space group F-43m (No. 216)
Unique sites:
Sm (0.000, 0.000, 0.000) (multiplicity 4)
Be (0.250, 0.250, 0.750) (multiplicity 4)
Ni (0.000, 0.000, 0.500) (multiplicity 4)

The calculation puts the electronic total energy at -53.1 eV for the cell shown.

---

Record 14
This record from OQMD describes a geometry-optimized SmBeNi structure. The functional is PBE.

a = 6.380 Å, b = 6.380 Å, c = 6.380 Å
α = 90.00°, β = 90.00°, γ = 90.00°
Space group F-43m (No. 216)
Unique sites:
Sm (0.000, 0.000, 0.000) (multiplicity 4)
Be (0.250, 0.250, 0.750) (multiplicity 4)
Ni (0.250, 0.250, 0.250) (multiplicity 4)

The calculation puts the electronic total energy at -47.0 eV for the cell shown.

---

Record 15
This record from OQMD describes a geometry-optimized Be2NiSn structure. The functional is PBE.

a = 5.862 Å, b = 5.862 Å, c = 5.862 Å
α = 90.00°, β = 90.00°, γ = 90.00°
Space group F-43m (No. 216)
Unique sites:
Be (0.000, 0.000, 0.000) (multiplicity 4)
Be (0.250, 0.250, 0.250) (multiplicity 4)
Ni (0.000, 0.000, 0.500) (multiplicity 4)
Sn (0.250, 0.250, 0.750) (multiplicity 4)

The calculation puts the electronic total energy at -63.7 eV for the cell shown.

---

Record 16
This record from OQMD describes a geometry-optimized BeNiSn structure. The functional is PBE.

a = 5.709 Å, b = 5.709 Å, c = 5.709 Å
α = 90.00°, β = 90.00°, γ = 90.00°
Space group F-43m (No. 216)
Unique sites:
Be (0.000, 0.000, 0.000) (multiplicity 4)
Ni (0.250, 0.250, 0.250) (multiplicity 4)
Sn (0.000, 0.000, 0.500) (multiplicity 4)

The calculation puts the electronic total energy at -53.4 eV for the cell shown.

---

Record 17
This record from OQMD describes a geometry-optimized Be2Ni3Sn2 structure. The functional is PBE.

a = 4.0968 Å, b = 4.0968 Å, c = 19.7405 Å
α = 90.00°, β = 90.00°, γ = 120.00°
Space group R3m (No. 160, hexagonal axes)
Unique sites:
Be (0.0000, 0.0000, 0.0000) (multiplicity 3)
Be (0.0000, 0.0000, 0.4969) (multiplicity 3)
Ni (0.0000, 0.0000, 0.3699) (multiplicity 3)
Ni (0.0000, 0.0000, 0.6259) (multiplicity 3)
Ni (0.0000, 0.0000, 0.8791) (multiplicity 3)
Sn (0.0000, 0.0000, 0.2397) (multiplicity 3)
Sn (0.0000, 0.0000, 0.7549) (multiplicity 3)

The calculation puts the electronic total energy at -99.4 eV for the cell shown.

---

Record 18
This record from OQMD describes a geometry-optimized BeNiSn structure. The functional is PBE.

a = 5.820 Å, b = 5.820 Å, c = 5.820 Å
α = 90.00°, β = 90.00°, γ = 90.00°
Space group F-43m (No. 216)
Unique sites:
Be (0.000, 0.000, 0.000) (multiplicity 4)
Ni (0.000, 0.000, 0.500) (multiplicity 4)
Sn (0.250, 0.250, 0.250) (multiplicity 4)

The calculation puts the electronic total energy at -49.4 eV for the cell shown.

---

Record 19
This record from OQMD describes a geometry-optimized BeNiSn2 structure. The functional is PBE.

a = 6.637 Å, b = 6.637 Å, c = 6.637 Å
α = 90.00°, β = 90.00°, γ = 90.00°
Space group F-43m (No. 216)
Unique sites:
Be (0.000, 0.000, 0.000) (multiplicity 4)
Ni (0.250, 0.250, 0.250) (multiplicity 4)
Sn (0.000, 0.000, 0.500) (multiplicity 4)
Sn (0.250, 0.250, 0.750) (multiplicity 4)

The calculation puts the electronic total energy at -60.1 eV for the cell shown.

---

Record 20
This record from OQMD describes a geometry-optimized TaBeNiSn structure. The functional is PBE.

a = 6.167 Å, b = 6.167 Å, c = 6.167 Å
α = 90.00°, β = 90.00°, γ = 90.00°
Space group F-43m (No. 216)
Unique sites:
Ta (0.000, 0.000, 0.000) (multiplicity 4)
Be (0.250, 0.250, 0.250) (multiplicity 4)
Ni (0.250, 0.250, 0.750) (multiplicity 4)
Sn (0.000, 0.000, 0.500) (multiplicity 4)

The calculation puts the electronic total energy at -96.8 eV for the cell shown.

---

Record 21
This record from OQMD describes a geometry-optimized TaBeNiSn structure. The functional is PBE.

a = 6.241 Å, b = 6.241 Å, c = 6.241 Å
α = 90.00°, β = 90.00°, γ = 90.00°
Space group F-43m (No. 216)
Unique sites:
Ta (0.000, 0.000, 0.000) (multiplicity 4)
Be (0.250, 0.250, 0.750) (multiplicity 4)
Ni (0.000, 0.000, 0.500) (multiplicity 4)
Sn (0.250, 0.250, 0.250) (multiplicity 4)

The calculation puts the electronic total energy at -94.5 eV for the cell shown.

---

Record 22
This record from OQMD describes a geometry-optimized YBeNiSn structure. The functional is PBE.

a = 6.453 Å, b = 6.453 Å, c = 6.453 Å
α = 90.00°, β = 90.00°, γ = 90.00°
Space group F-43m (No. 216)
Unique sites:
Y (0.000, 0.000, 0.000) (multiplicity 4)
Be (0.250, 0.250, 0.250) (multiplicity 4)
Ni (0.250, 0.250, 0.750) (multiplicity 4)
Sn (0.000, 0.000, 0.500) (multiplicity 4)

The calculation puts the electronic total energy at -82.9 eV for the cell shown.

---

Record 23
This record from OQMD describes a geometry-optimized ZrBeNiSn structure. The functional is PBE.

a = 6.346 Å, b = 6.346 Å, c = 6.346 Å
α = 90.00°, β = 90.00°, γ = 90.00°
Space group F-43m (No. 216)
Unique sites:
Zr (0.000, 0.000, 0.000) (multiplicity 4)
Be (0.250, 0.250, 0.250) (multiplicity 4)
Ni (0.250, 0.250, 0.750) (multiplicity 4)
Sn (0.000, 0.000, 0.500) (multiplicity 4)

The calculation puts the electronic total energy at -90.0 eV for the cell shown.

---

Record 24
This record from OQMD describes a geometry-optimized SrBe2Ni structure. The functional is PBE.

a = 6.418 Å, b = 6.418 Å, c = 6.418 Å
α = 90.00°, β = 90.00°, γ = 90.00°
Space group F-43m (No. 216)
Unique sites:
Sr (0.000, 0.000, 0.000) (multiplicity 4)
Be (0.000, 0.000, 0.500) (multiplicity 4)
Be (0.250, 0.250, 0.250) (multiplicity 4)
Ni (0.250, 0.250, 0.750) (multiplicity 4)

The calculation puts the electronic total energy at -47.8 eV for the cell shown.

---

Record 25
This record from OQMD describes a geometry-optimized TaBe2Ni structure. The functional is PBE.

a = 5.686 Å, b = 5.686 Å, c = 5.686 Å
α = 90.00°, β = 90.00°, γ = 90.00°
Space group F-43m (No. 216)
Unique sites:
Ta (0.000, 0.000, 0.000) (multiplicity 4)
Be (0.000, 0.000, 0.500) (multiplicity 4)
Be (0.250, 0.250, 0.250) (multiplicity 4)
Ni (0.250, 0.250, 0.750) (multiplicity 4)

The calculation puts the electronic total energy at -101.0 eV for the cell shown.

---

Record 26
This record from OQMD describes a geometry-optimized TaBeNi structure. The functional is PBE.

a = 5.541 Å, b = 5.541 Å, c = 5.541 Å
α = 90.00°, β = 90.00°, γ = 90.00°
Space group F-43m (No. 216)
Unique sites:
Ta (0.000, 0.000, 0.000) (multiplicity 4)
Be (0.000, 0.000, 0.500) (multiplicity 4)
Ni (0.250, 0.250, 0.750) (multiplicity 4)

The calculation puts the electronic total energy at -83.3 eV for the cell shown.

---

Record 27
This record from OQMD describes a geometry-optimized Ta4BeNi structure. The functional is PBE.

a = 6.192 Å, b = 6.192 Å, c = 4.771 Å
α = 90.00°, β = 90.00°, γ = 90.00°
Space group I422 (No. 97)
Unique sites:
Ta (0.159, 0.341, 0.250) (multiplicity 8)
Be (0.000, 0.000, 0.500) (multiplicity 2)
Ni (0.000, 0.000, 0.000) (multiplicity 2)

The calculation puts the electronic total energy at -115.6 eV for the cell shown.

---

Record 28
This record from OQMD describes a geometry-optimized TaBeZnNi structure. The functional is PBE.

a = 5.875 Å, b = 5.875 Å, c = 5.875 Å
α = 90.00°, β = 90.00°, γ = 90.00°
Space group F-43m (No. 216)
Unique sites:
Ta (0.000, 0.000, 0.000) (multiplicity 4)
Be (0.250, 0.250, 0.250) (multiplicity 4)
Zn (0.000, 0.000, 0.500) (multiplicity 4)
Ni (0.250, 0.250, 0.750) (multiplicity 4)

The calculation puts the electronic total energy at -91.0 eV for the cell shown.

---

Record 29
This record from OQMD describes a geometry-optimized TaBeZnNi structure. The functional is PBE.

a = 5.881 Å, b = 5.881 Å, c = 5.881 Å
α = 90.00°, β = 90.00°, γ = 90.00°
Space group F-43m (No. 216)
Unique sites:
Ta (0.000, 0.000, 0.000) (multiplicity 4)
Be (0.250, 0.250, 0.750) (multiplicity 4)
Zn (0.250, 0.250, 0.250) (multiplicity 4)
Ni (0.000, 0.000, 0.500) (multiplicity 4)

The calculation puts the electronic total energy at -87.8 eV for the cell shown.

---

Record 30
This record from OQMD describes a geometry-optimized BeTcNi structure. The functional is PBE.

a = 5.367 Å, b = 5.367 Å, c = 5.367 Å
α = 90.00°, β = 90.00°, γ = 90.00°
Space group F-43m (No. 216)
Unique sites:
Be (0.000, 0.000, 0.000) (multiplicity 4)
Tc (0.000, 0.000, 0.500) (multiplicity 4)
Ni (0.250, 0.250, 0.250) (multiplicity 4)

The calculation puts the electronic total energy at -74.5 eV for the cell shown.

---

Record 31
This record from OQMD describes a geometry-optimized BeTcNi structure. The functional is PBE.

a = 5.466 Å, b = 5.466 Å, c = 5.466 Å
α = 90.00°, β = 90.00°, γ = 90.00°
Space group F-43m (No. 216)
Unique sites:
Be (0.000, 0.000, 0.000) (multiplicity 4)
Tc (0.250, 0.250, 0.750) (multiplicity 4)
Ni (0.000, 0.000, 0.500) (multiplicity 4)

The calculation puts the electronic total energy at -70.1 eV for the cell shown.